# 1
Density functional theory data (PBE-GGA) for crystalline CePm5Cd6 at its relaxed geometry.

Computed properties:
Its formation energy is -0.283 eV/atom. The calculation puts the calculated total energy at -3.214 eV per atom. For the total magnetization, the calculation gives 0.29 μB per atom.

The structure in POSCAR format:
```
CePm5Cd6
1.0
-2.702 3.847 8.111
2.702 -3.847 8.111
2.702 3.847 -8.111
Ce Pm Cd
1 5 6
direct
0.000 0.000 0.000
0.163 0.663 0.500
0.332 0.332 0.000
0.500 0.000 0.500
0.668 0.668 0.000
0.837 0.337 0.500
0.085 0.832 0.253
0.257 0.500 0.757
0.421 0.168 0.253
0.579 0.832 0.747
0.743 0.500 0.243
0.915 0.168 0.747
```



# 2
Density functional theory data (PBE-GGA) for crystalline CePmCd2 at its relaxed geometry.

Computed properties:
Its formation energy is -0.212 eV/atom. The calculation puts the calculated total energy at -3.341 eV per atom. For the total magnetization, the calculation gives 0.51 μB per atom.

The structure in POSCAR format:
```
CePmCd2
1.0
0.000 3.835 3.835
3.835 0.000 3.835
3.835 3.835 0.000
Ce Pm Cd
1 1 2
direct
0.000 0.000 0.000
0.500 0.500 0.500
0.250 0.250 0.250
0.750 0.750 0.750
```



# 3
Density functional theory data (PBE-GGA) for crystalline CePmCd4 at its relaxed geometry.

Computed properties:
Its formation energy is -0.293 eV/atom. The calculation puts the calculated total energy at -2.684 eV per atom. For the total magnetization, the calculation gives 0.21 μB per atom.

The structure in POSCAR format:
```
CePmCd4
1.0
3.335 -8.838 0.000
3.335 8.838 0.000
0.000 0.000 5.113
Ce Pm Cd
2 2 8
direct
0.125 0.875 0.750
0.875 0.125 0.250
0.375 0.625 0.250
0.625 0.375 0.750
0.040 0.457 0.750
0.205 0.288 0.750
0.288 0.205 0.250
0.457 0.040 0.250
0.543 0.960 0.750
0.712 0.795 0.750
0.795 0.712 0.250
0.960 0.543 0.250
```



# 4
Density functional theory data (PBE-GGA) for crystalline CePmCd4 at its relaxed geometry.

Computed properties:
Its formation energy is -0.243 eV/atom. The calculation puts the calculated total energy at -2.634 eV per atom. For the total magnetization, the calculation gives 0.16 μB per atom.

The structure in POSCAR format:
```
CePmCd4
1.0
0.000 4.227 4.227
4.227 0.000 4.227
4.227 4.227 0.000
Ce Pm Cd
1 1 4
direct
0.000 0.000 0.000
0.750 0.750 0.750
0.375 0.375 0.375
0.375 0.375 0.875
0.375 0.875 0.375
0.875 0.375 0.375
```



# 5
Density functional theory data (PBE-GGA) for crystalline CePmPrCd at its relaxed geometry.

Computed properties:
Its formation energy is 0.034 eV/atom. The calculation puts the calculated total energy at -4.061 eV per atom. For the total magnetization, the calculation gives 0.42 μB per atom.

The structure in POSCAR format:
```
CePmPrCd
1.0
0.000 3.935 3.935
3.935 0.000 3.935
3.935 3.935 0.000
Ce Pm Pr Cd
1 1 1 1
direct
0.000 0.000 0.000
0.750 0.750 0.750
0.500 0.500 0.500
0.250 0.250 0.250
```



# 6
Density functional theory data (PBE-GGA) for crystalline CePmPuCd at its relaxed geometry.

Computed properties:
Its formation energy is 0.067 eV/atom. The calculation puts the calculated total energy at -6.416 eV per atom. For the total magnetization, the calculation gives 2.07 μB per atom.

The structure in POSCAR format:
```
CePmPuCd
1.0
0.000 3.784 3.784
3.784 0.000 3.784
3.784 3.784 0.000
Ce Pm Pu Cd
1 1 1 1
direct
0.000 0.000 0.000
0.250 0.250 0.250
0.750 0.750 0.750
0.500 0.500 0.500
```